This record from Alexandria via LeMat-Bulk describes an optimized crystal structure of YThTlAg. The functional is PBE.

Cell lengths 7.5830, 7.5830, 7.5830 Å; angles 90.00, 90.00, 90.00 degrees
Space group F-43m (No. 216)
One atom of each set of equivalent atoms:
Y 0.0000 0.0000 0.0000 [4 per cell]
Th 0.0000 0.0000 0.5000 [4 per cell]
Tl 0.2500 0.2500 0.2500 [4 per cell]
Ag 0.2500 0.2500 0.7500 [4 per cell]

## Properties
Crystal system: cubic
Volume, Å³/cell: 436.0
Energy of formation from the pure elements, eV per atom: -0.18



This record from Alexandria via LeMat-Bulk describes an optimized crystal structure of YTeRuPb2. The functional is PBE.

Cell lengths 5.1469, 5.1469, 5.6176 Å; angles 90.00, 90.00, 90.00 degrees
Space group P4/mmm (No. 123)
One atom of each set of equivalent atoms:
Y 0.0000 0.0000 0.0000 [1 per cell]
Te 0.5000 0.5000 0.0000 [1 per cell]
Ru 0.5000 0.5000 0.5000 [1 per cell]
Pb 0.0000 0.5000 0.5000 [2 per cell]

## Properties
Crystal system: tetragonal
Volume, Å³/cell: 148.8
ΔE_f (raw), eV per atom: 0.21



This record from Alexandria via LeMat-Bulk describes an optimized crystal structure of AgPbSe2. The functional is PBE.

Cell lengths 4.2373, 4.1179, 5.9918 Å; angles 90.00, 109.51, 90.00 degrees
Space group P2/m (No. 10)
One atom of each set of equivalent atoms:
Ag 0.0000 0.0000 0.0000 [1 per cell]
Pb 0.5000 0.0000 0.5000 [1 per cell]
Se 0.2169 0.5000 0.7654 [2 per cell]

## Properties
Crystal system: monoclinic
Volume, Å³/cell: 98.6
ΔE_f (raw), eV per atom: -0.08



This record from Alexandria via LeMat-Bulk describes an optimized crystal structure of Zr3S. The functional is PBE.

Cell lengths 10.8972, 10.8972, 5.2869 Å; angles 90.00, 90.00, 90.00 degrees
Space group I-4 (No. 82)
One atom of each set of equivalent atoms:
Zr 0.0224 0.1369 0.2719 [8 per cell]
Zr 0.0863 0.6057 0.4833 [8 per cell]
Zr 0.1798 0.7164 0.9878 [8 per cell]
S 0.0387 0.2085 0.7760 [8 per cell]

## Properties
Energy above the most stable polymorph in this dataset, meV/atom: 24
Crystal system: tetragonal
Volume, Å³/cell: 627.8
ΔE_f (raw), eV per atom: -0.78



Which of these has the highest volume? Zr3S



Among the records above, which one has the highest volume? Zr3S